Material: PaHCl3
Method: DFT, PBE
State: optimized geometry

```
PaHCl3
1.0
-4.2163 4.0022 3.6308
4.2163 -4.0022 3.6308
4.2163 4.0022 -3.6308
Pa H Cl
2 2 6
Direct
0.1260 0.2500 0.3760
0.8740 0.7500 0.6240
0.5333 0.4468 0.5866
0.8602 0.9468 0.4134
0.1713 0.5490 0.7489
0.1713 0.9224 0.1223
0.3104 0.1091 0.7013
0.4078 0.6091 0.2987
0.8001 0.0490 0.8777
0.8001 0.4224 0.2511
```

Properties
space-group type	No. 46
theoretical density	4586	kg/m3
ΔE to the lowest computed polymorph	0.00	kcal/mol of atoms

---

Material: Cr2CoIr9
Method: DFT, PBE
State: optimized geometry

```
Cr2CoIr9
1.0
3.8105 0.0000 0.0000
0.0000 3.8105 0.0000
0.0000 0.0000 11.4553
Cr Co Ir
2 1 9
Direct
0.0000 0.0000 0.1706
0.0000 0.0000 0.8294
0.0000 0.0000 0.5000
0.0000 0.5000 0.0000
0.0000 0.5000 0.3324
0.0000 0.5000 0.6676
0.5000 0.0000 0.0000
0.5000 0.0000 0.3324
0.5000 0.0000 0.6676
0.5000 0.5000 0.1661
0.5000 0.5000 0.5000
0.5000 0.5000 0.8339
```

Properties
space-group type	No. 123
theoretical density	18898	kg/m3
energy relative to the elements	-0.131	eV/atom

---

Material: MgCuBr2
Method: DFT, PBE
State: optimized geometry

```
MgCuBr2
1.0
2.0029 -3.1567 0.0000
2.0029 3.1567 0.0000
0.0000 0.0000 8.6820
Mg Cu Br
1 1 2
Direct
0.0000 0.0000 0.0000
0.5000 0.5000 0.2193
0.0000 0.0000 0.3709
0.5000 0.5000 0.8079
```

Properties
raw formation energy	-0.3971	eV per atom
space-group type	No. 35
theoretical density	3746	kg/m3
ΔE to the lowest computed polymorph	2.41	kcal/mol of atoms

---

Material: GaHgPd2Pb
Method: DFT, PBE
State: optimized geometry

```
GaHgPd2Pb
1.0
5.2574 0.0000 0.0000
0.0000 5.2574 0.0000
0.0000 0.0000 4.9084
Ga Hg Pd Pb
1 1 2 1
Direct
0.0000 0.0000 0.0000
0.0000 0.0000 0.5000
0.0000 0.5000 0.5000
0.5000 0.0000 0.5000
0.5000 0.5000 0.0000
```

Properties
space-group type	No. 123
theoretical density	8450	kg/m3
energy relative to the elements	0.487	eV/atom

---

Material: Be2Rh
Method: DFT, PBE
State: optimized geometry

```
Be2Rh
1.0
1.2952 -6.7173 0.0000
1.2952 6.7173 0.0000
0.0000 0.0000 3.7360
Be Rh
4 2
Direct
0.0537 0.9463 0.7500
0.4024 0.5976 0.7500
0.5976 0.4024 0.2500
0.9463 0.0537 0.2500
0.3036 0.6964 0.2500
0.6964 0.3036 0.7500
```

Properties
space-group type	No. 63
theoretical density	6178	kg/m3
energy relative to the elements	-0.058	eV/atom

---

Material: PdPt3Se
Method: DFT, PBE
State: optimized geometry

```
PdPt3Se
1.0
4.8365 0.0000 0.0000
0.0000 4.8365 0.0000
0.0000 0.0000 4.8365
Pd Pt Se
1 3 1
Direct
0.0000 0.0000 0.0000
0.0000 0.0000 0.5000
0.0000 0.5000 0.0000
0.5000 0.0000 0.0000
0.5000 0.5000 0.5000
```

Properties
raw formation energy	1.4572	eV per atom
space-group type	No. 221
theoretical density	11311	kg/m3
ΔE to the lowest computed polymorph	17.80	kcal/mol of atoms

---

Material: LiNdPtRh
Method: DFT, PBE
State: optimized geometry

```
LiNdPtRh
1.0
0.0000 3.3407 3.3407
3.3407 0.0000 3.3407
3.3407 3.3407 0.0000
Li Nd Pt Rh
1 1 1 1
Direct
0.0000 0.0000 0.0000
0.5000 0.5000 0.5000
0.2500 0.2500 0.2500
0.7500 0.7500 0.7500
```

Properties
space-group type	No. 216
theoretical density	10003	kg/m3
energy relative to the elements	-0.557	eV/atom
ΔE to the lowest computed polymorph	0.00	kcal/mol of atoms

---

Material: La2Cd2Hg
Method: DFT, PBE
State: optimized geometry

```
La2Cd2Hg
1.0
9.2867 0.0000 0.0000
0.0000 9.2867 0.0000
0.0000 0.0000 3.6224
La Cd Hg
4 4 2
Direct
0.1791 0.3209 0.0000
0.3209 0.8209 0.0000
0.6791 0.1791 0.0000
0.8209 0.6791 0.0000
0.1163 0.6163 0.5000
0.3837 0.1163 0.5000
0.6163 0.8837 0.5000
0.8837 0.3837 0.5000
0.0000 0.0000 0.0000
0.5000 0.5000 0.0000
```

Properties
space-group type	No. 127
theoretical density	7476	kg/m3
energy relative to the elements	-0.173	eV/atom
ΔE to the lowest computed polymorph	4.25	kcal/mol of atoms

---

Number 1: size of the total moment 1.001 μB per formula unit. Number 2: size of the total moment 3.253 μB per formula unit. Number 3: size of the total moment 0.000 μB per formula unit. Number 4: size of the total moment 0.000 μB per formula unit. Number 5: size of the total moment 0.000 μB per formula unit. Number 6: size of the total moment 0.882 μB per formula unit. Number 7: size of the total moment 0.000 μB per formula unit. Number 8: size of the total moment 0.158 μB per formula unit.